The following is a PBE calculation of a geometry-optimized SrLi2Mo structure, from the Alexandria database.

a b c (Å): 5.862 5.862 5.862
angles (deg): 143.29 127.25 65.98
Each line ends with the local moment (μB).
Fractional coordinates of all 4 atoms:
Li  0.751  0.251  0.500  -0.04
Mo  0.528  0.528  0.000  2.66
Li  0.976  0.976  0.000  -0.02
Sr  0.245  0.745  0.500  0.00

Calculated values
Formation energy   0.823 eV/atom
Total energy   -3.262 eV/atom
Density of states at the Fermi level   3.0 states/eV per cell
Offset from the most stable computed form   0.1704 eV per atom
Symmetry   Imm2